Entry 1:
The following is a DFT calculation (SCAN) of a crystal of Y5Re relaxed with PBEsol.

```
6
Lattice="-5.342 -2.196 1.726 -3.446 -2.989 -3.941 -0.769 -5.952 0.576" Properties=species:S:1:pos:R:3 pbc="T T T"
Y -7.168 -8.353 -1.229
Y -6.275 -5.271 0.263
Y -3.568 -4.158 -0.612
Y -3.957 -7.174 -0.320
Y -5.314 -5.672 -2.609
Re 0.000 0.000 0.000
```

Calculated values
For the magnetization, the calculation gives 2.0 μB/f.u. As for the volume: 25.82 Å³ per atom. The calculation puts the total energy at -205.1 eV for the cell shown. Its formation energy is 0.8738 eV per atom.

Entry 2:
The following is a DFT calculation (SCAN) of a crystal of Mn2SnO relaxed with PBEsol.

```
4
Lattice="-2.235 -3.545 -0.896 0.659 -2.072 -3.692 1.946 -3.818 0.003" Properties=species:S:1:pos:R:3 pbc="T T T"
O 0.000 0.000 0.000
Mn 0.278 -7.076 -3.439
Mn 0.093 -2.359 -1.146
Sn 0.186 -4.717 -2.293
```

Calculated values
For the magnetization, the calculation gives 7.3 μB/f.u. As for the volume: 13.91 Å³ per atom. The calculation puts the total energy at -78.6 eV for the cell shown. Its raw formation energy is 0.022 eV per atom.

Entry 3:
The following is a DFT calculation (SCAN) of a crystal of AgAu3 relaxed with PBEsol.

```
4
Lattice="4.062 0.000 0.000 0.000 4.062 0.000 -2.031 -2.031 4.072" Properties=species:S:1:pos:R:3 pbc="T T T"
Au 0.000 0.000 0.000
Au 2.031 0.000 2.036
Au 0.000 2.031 2.036
Ag 2.031 2.031 0.000
```

Calculated values
For the magnetization, the calculation gives 0.0 μB/f.u. As for the volume: 16.79 Å³ per atom. The calculation puts the total energy at -239.1 eV for the cell shown. Its formation energy is -0.0624 eV per atom. As for the distance to the lowest polymorph of the same formula: 0.005 eV/atom.

Entry 4:
The following is a DFT calculation (SCAN) of a crystal of MgFeB2 relaxed with PBEsol.

```
8
Lattice="3.745 0.000 0.000 0.000 3.745 0.000 -1.872 -1.872 6.640" Properties=species:S:1:pos:R:3 pbc="T T T"
Mg 1.872 1.872 0.000
Mg 1.872 0.000 3.320
B -0.936 1.872 4.980
B 0.000 2.809 1.660
B 0.000 0.936 1.660
B 0.936 1.872 4.980
Fe 0.000 1.872 3.320
Fe 0.000 0.000 0.000
```

Calculated values
For the magnetization, the calculation gives 0.0 μB/f.u. As for the volume: 11.64 Å³ per atom. The calculation puts the total energy at -73.3 eV for the cell shown. Its formation energy is 0.3308 eV per atom.

Entry 5:
The following is a DFT calculation (SCAN) of a crystal of Mg2ZnCu9 relaxed with PBEsol.

```
12
Lattice="-1.778 -3.026 3.287 -0.293 -4.701 -0.969 6.605 -3.641 3.738" Properties=species:S:1:pos:R:3 pbc="T T T"
Zn 0.000 0.000 0.000
Cu -0.088 -5.648 3.562
Cu 0.662 -6.492 1.416
Cu 0.809 -4.121 1.905
Cu 3.873 -4.876 4.641
Cu 5.223 -8.792 5.283
Cu 2.267 -5.684 3.028
Cu 4.622 -5.721 2.494
Cu -0.689 -2.576 0.773
Cu 3.725 -7.247 4.152
Mg 1.034 -8.181 3.581
Mg 3.500 -3.188 2.476
```

Calculated values
For the magnetization, the calculation gives 0.0 μB/f.u. As for the volume: 13.26 Å³ per atom. The calculation puts the total energy at -160.3 eV for the cell shown. Its formation energy is -0.0034 eV per atom.

Entry 6:
The following is a DFT calculation (SCAN) of a crystal of SrAsW2 relaxed with PBEsol.

```
4
Lattice="-1.792 0.873 -2.315 -2.542 -1.569 -0.639 -6.269 5.224 4.807" Properties=species:S:1:pos:R:3 pbc="T T T"
W -7.727 3.141 1.119
W -2.876 1.387 0.734
Sr 0.000 0.000 0.000
As -5.301 2.264 0.926
```

Calculated values
For the magnetization, the calculation gives 0.0 μB/f.u. As for the volume: 18.80 Å³ per atom. The calculation puts the total energy at -177.8 eV for the cell shown. Its formation energy is 1.0145 eV per atom.

Entry 7:
The following is a DFT calculation (SCAN) of a crystal of Y3Hg relaxed with PBEsol.

```
4
Lattice="3.563 0.000 0.000 1.782 3.086 0.000 1.782 1.029 10.385" Properties=species:S:1:pos:R:3 pbc="T T T"
Y 3.563 2.057 5.193
Y 5.345 3.086 8.040
Y 1.782 1.029 2.346
Hg 0.000 0.000 0.000
```

Calculated values
For the magnetization, the calculation gives 0.0 μB/f.u. As for the volume: 28.55 Å³ per atom. The calculation puts the total energy at -152.7 eV for the cell shown. Its formation energy is -0.2404 eV per atom.

Entry 8:
The following is a DFT calculation (SCAN) of a crystal of K2NiN relaxed with PBEsol.

```
8
Lattice="3.445 0.000 0.000 1.722 8.001 0.000 1.722 0.000 8.001" Properties=species:S:1:pos:R:3 pbc="T T T"
K 3.014 1.921 5.921
K 3.014 6.080 2.080
K 5.598 5.921 6.080
K 2.153 2.080 1.921
Ni 4.306 4.001 4.001
Ni 0.000 0.000 0.000
N 2.584 4.001 4.001
N 1.722 0.000 0.000
```

Calculated values
For the magnetization, the calculation gives 0.3 μB/f.u. As for the volume: 27.57 Å³ per atom. The calculation puts the total energy at -85.0 eV for the cell shown. Its raw formation energy is -0.091 eV per atom.

Entry 9:
The following is a DFT calculation (SCAN) of a crystal of K2CeCuBr6 relaxed with PBEsol.

```
10
Lattice="-2.018 5.284 -5.206 1.665 -1.088 -7.426 -5.625 -1.502 -5.020" Properties=species:S:1:pos:R:3 pbc="T T T"
K -4.484 2.020 -13.239
K -1.495 0.673 -4.413
Br -1.733 2.704 -10.639
Br -0.772 0.186 -8.159
Br -3.452 -0.529 -10.551
Br -5.207 2.507 -9.493
Br -4.245 -0.011 -7.012
Br -2.526 3.223 -7.101
Ce 0.000 0.000 0.000
Cu -2.989 1.347 -8.826
```

Calculated values
For the magnetization, the calculation gives 1.0 μB/f.u. As for the volume: 32.12 Å³ per atom. The calculation puts the total energy at -209.2 eV for the cell shown. Its raw formation energy is -1.599 eV per atom.

Entry 10:
The following is a DFT calculation (SCAN) of a crystal of Si2SbW relaxed with PBEsol.

```
4
Lattice="3.001 0.000 0.000 1.501 2.599 0.000 1.501 0.866 9.201" Properties=species:S:1:pos:R:3 pbc="T T T"
W 3.001 1.733 4.873
Sb 1.501 0.866 2.603
Si 1.501 0.866 8.757
Si 4.502 2.599 6.769
```

Calculated values
For the magnetization, the calculation gives 0.0 μB/f.u. As for the volume: 17.95 Å³ per atom. The calculation puts the total energy at -124.4 eV for the cell shown. Its raw formation energy is 0.633 eV per atom.

Entry 11:
The following is a DFT calculation (SCAN) of a crystal of AgMoRh2 relaxed with PBEsol.

```
4
Lattice="4.360 0.000 0.000 2.180 3.776 0.000 2.180 1.259 3.560" Properties=species:S:1:pos:R:3 pbc="T T T"
Mo 4.360 2.518 1.780
Rh 2.180 1.259 0.890
Rh 6.541 3.776 2.670
Ag 0.000 0.000 0.000
```

Calculated values
For the magnetization, the calculation gives 0.0 μB/f.u. As for the volume: 14.66 Å³ per atom. The calculation puts the total energy at -133.0 eV for the cell shown. Its formation energy is 0.1992 eV per atom. As for the distance to the lowest polymorph of the same formula: 0.016 eV/atom.

Entry 12:
The following is a DFT calculation (SCAN) of a crystal of MgMnNi2 relaxed with PBEsol.

```
4
Lattice="3.069 0.000 0.000 0.000 3.969 0.000 -1.534 -1.984 4.088" Properties=species:S:1:pos:R:3 pbc="T T T"
Ni 1.534 0.000 1.979
Ni 1.534 1.984 4.084
Mg 0.000 0.000 4.053
Mn 0.000 1.984 2.149
```

Calculated values
For the magnetization, the calculation gives 4.8 μB/f.u. As for the volume: 12.45 Å³ per atom. The calculation puts the total energy at -56.1 eV for the cell shown. Its formation energy is -0.1373 eV per atom.